A relaxed Ac6IrSe5 crystal. Source: Alexandria via LeMat-Bulk, functional GGA-PBE.

Values from the calculation:
Electronic total energy in eV per atom: -5.926
Formation energy from raw total energies in eV/atom: -1.6816
N(E_F) in states/eV/cell: 9.8
Magnetization in μB per atom: 0.00
Space-group type: C2/m (12)

Lattice parameters (Å, degrees): 7.7782 7.7782 7.7315 99.69 99.69 119.78
Atoms (fractional coordinates):
Ac (0.3961, 0.0793, 0.2391)
Ac (0.9207, 0.6039, 0.7609)
Ac (0.2360, 0.2360, 0.7578)
Ac (0.7640, 0.7640, 0.2422)
Ac (0.0793, 0.3961, 0.2391)
Ac (0.6039, 0.9207, 0.7609)
Ir (0.0000, 0.0000, 0.0000)
Se (0.8245, 0.1755, 0.5000)
Se (0.6659, 0.3341, 0.0000)
Se (0.5000, 0.5000, 0.5000)
Se (0.3341, 0.6659, 0.0000)
Se (0.1755, 0.8245, 0.5000)